(1)
This record from the Alexandria database describes crystalline SrCe2Sn3 at its relaxed geometry. The functional is PBE-GGA.

Output
As for the total moment: 1.546 μB/f.u. As for the symmetry: P4/mmm, No. 123.

Cell lengths 4.1681, 4.1681, 10.3358 Å; angles 90.00, 90.00, 90.00 degrees
With the nearest neighbours (Å) after each atom.
Positions (direct):
Sr (0.0000, 0.0000, 0.0000)  8 Sn 3.59, 2 Ce 3.78
Ce (0.0000, 0.0000, 0.3653)  1 Ce 2.78
Ce (0.0000, 0.0000, 0.6347)  1 Ce 2.78
Sn (0.5000, 0.5000, 0.1982)  1 Sn 3.12, 4 Ce 3.42
Sn (0.5000, 0.5000, 0.5000)  2 Sn 3.12, 8 Ce 3.26
Sn (0.5000, 0.5000, 0.8018)  1 Sn 3.12, 4 Ce 3.42

=====

(2)
This record from the Alexandria database describes crystalline SrCe4Sn4 at its relaxed geometry. The functional is PBE-GGA.

Output
As for the total moment: 4.687 μB/f.u. As for the symmetry: P4_2/n, No. 86.

Cell lengths 10.3824, 10.3824, 6.2965 Å; angles 90.00, 90.00, 90.00 degrees
With the nearest neighbours (Å) after each atom.
Positions (direct):
Sr (0.2500, 0.2500, 0.2500)  4 Sn 3.51
Sr (0.7500, 0.7500, 0.7500)  4 Sn 3.51
Ce (0.1120, 0.6429, 0.1442)  5 Sn 3.18-3.34
Ce (0.1429, 0.8880, 0.6442)  5 Sn 3.18-3.34
Ce (0.3571, 0.6120, 0.6442)  5 Sn 3.18-3.34
Ce (0.3880, 0.8571, 0.1442)  5 Sn 3.18-3.34
Ce (0.6120, 0.1429, 0.8558)  5 Sn 3.18-3.34
Ce (0.6429, 0.3880, 0.3558)  5 Sn 3.18-3.34
Ce (0.8571, 0.1120, 0.3558)  5 Sn 3.18-3.34
Ce (0.8880, 0.3571, 0.8558)  5 Sn 3.18-3.34
Sn (0.0454, 0.5957, 0.6570)  1 Sn 2.96, 4 Ce 3.18-3.24
Sn (0.0957, 0.9546, 0.1570)  1 Sn 2.96, 4 Ce 3.18-3.24
Sn (0.4043, 0.5454, 0.1570)  1 Sn 2.96, 4 Ce 3.18-3.24
Sn (0.4546, 0.9043, 0.6570)  1 Sn 2.96, 4 Ce 3.18-3.24
Sn (0.5454, 0.0957, 0.3430)  1 Sn 2.96, 4 Ce 3.18-3.24
Sn (0.5957, 0.4546, 0.8430)  1 Sn 2.96, 4 Ce 3.18-3.24
Sn (0.9043, 0.0454, 0.8430)  1 Sn 2.96, 4 Ce 3.18-3.24
Sn (0.9546, 0.4043, 0.3430)  1 Sn 2.96, 4 Ce 3.18-3.24

=====

(3)
This record from the Alexandria database describes crystalline Sr3CeSn12 at its relaxed geometry. The functional is PBE-GGA.

Output
As for the total moment: 0.425 μB/f.u. As for the symmetry: P4/mmm, No. 123.

Cell lengths 4.8106, 4.8106, 19.4786 Å; angles 90.00, 90.00, 90.00 degrees
With the nearest neighbours (Å) after each atom.
Positions (direct):
Sr (0.0000, 0.0000, 0.0000)  12 Sn 3.40-3.44
Sr (0.0000, 0.0000, 0.2547)  12 Sn 3.40-3.47
Sr (0.0000, 0.0000, 0.7453)  12 Sn 3.40-3.47
Ce (0.0000, 0.0000, 0.5000)  12 Sn 3.36-3.40
Sn (0.0000, 0.5000, 0.1263)  8 Sn 3.40-3.44, 4 Sr 3.44-3.47
Sn (0.0000, 0.5000, 0.3796)  8 Sn 3.36-3.45, 2 Ce 3.36, 2 Sr 3.42
Sn (0.0000, 0.5000, 0.6204)  8 Sn 3.36-3.45, 2 Ce 3.36, 2 Sr 3.42
Sn (0.0000, 0.5000, 0.8737)  8 Sn 3.40-3.44, 4 Sr 3.44-3.47
Sn (0.5000, 0.0000, 0.1263)  8 Sn 3.40-3.44, 4 Sr 3.44-3.47
Sn (0.5000, 0.0000, 0.3796)  8 Sn 3.36-3.45, 2 Ce 3.36, 2 Sr 3.42
Sn (0.5000, 0.0000, 0.6204)  8 Sn 3.36-3.45, 2 Ce 3.36, 2 Sr 3.42
Sn (0.5000, 0.0000, 0.8737)  8 Sn 3.40-3.44, 4 Sr 3.44-3.47
Sn (0.5000, 0.5000, 0.0000)  4 Sr 3.40, 8 Sn 3.44
Sn (0.5000, 0.5000, 0.2524)  4 Sr 3.40, 8 Sn 3.44-3.45
Sn (0.5000, 0.5000, 0.5000)  8 Sn 3.36, 4 Ce 3.40
Sn (0.5000, 0.5000, 0.7476)  4 Sr 3.40, 8 Sn 3.44-3.45

=====

(4)
This record from the Alexandria database describes crystalline SrCeSn at its relaxed geometry. The functional is PBE-GGA.

Output
As for the total moment: 0.880 μB/f.u. As for the symmetry: P-1, No. 2.

Cell lengths 4.4670, 5.7942, 8.7008 Å; angles 71.09, 89.96, 67.36 degrees
With the nearest neighbours (Å) after each atom.
Positions (direct):
Sr (0.1636, 0.1742, 0.1017)  1 Sr 3.31, 3 Sn 3.41-3.44
Sr (0.8364, 0.8258, 0.8983)  1 Sr 3.31, 3 Sn 3.41-3.44
Ce (0.1328, 0.2340, 0.5585)  1 Ce 2.66
Ce (0.8672, 0.7660, 0.4415)  1 Ce 2.66
Sn (0.4932, 0.5128, 0.7303)  5 Ce 3.28-3.61, 3 Sr 3.41-3.44
Sn (0.5068, 0.4872, 0.2697)  5 Ce 3.28-3.61, 3 Sr 3.41-3.44

=====

(5)
This record from the Alexandria database describes crystalline SrCeSn at its relaxed geometry. The functional is PBE-GGA.

Output
As for the total moment: 2.263 μB/f.u. As for the symmetry: I4mm, No. 107.

Cell lengths 6.4571, 6.4571, 6.4571 Å; angles 142.01, 142.01, 54.81 degrees
With the nearest neighbours (Å) after each atom.
Positions (direct):
Sr (0.0000, 0.0000, 0.0000)  1 Ce 3.33, 4 Sn 3.52
Ce (0.2906, 0.2906, 0.0000)  4 Sn 3.30, 1 Sr 3.33
Sn (0.6651, 0.6651, 0.0000)  4 Ce 3.30, 4 Sr 3.52

=====

(6)
This record from the Alexandria database describes crystalline SrCeSn4 at its relaxed geometry. The functional is PBE-GGA.

Output
As for the total moment: 1.842 μB/f.u. As for the symmetry: F-43m, No. 216.

Cell lengths 6.3060, 6.3060, 6.3060 Å; angles 60.00, 60.00, 60.00 degrees
With the nearest neighbours (Å) after each atom.
Positions (direct):
Sr (0.0000, 0.0000, 0.0000)  12 Sn 3.70, 4 Ce 3.86
Ce (0.2500, 0.2500, 0.2500)  12 Sn 3.70, 4 Sr 3.86
Sn (0.1265, 0.6245, 0.6245)  6 Sn 3.14-3.17
Sn (0.6245, 0.1265, 0.6245)  6 Sn 3.14-3.17
Sn (0.6245, 0.6245, 0.1265)  6 Sn 3.14-3.17
Sn (0.6245, 0.6245, 0.6245)  6 Sn 3.14-3.17

=====

(7)
This record from the Alexandria database describes crystalline SrCeSn2 at its relaxed geometry. The functional is PBE-GGA.

Output
As for the total moment: 1.093 μB/f.u. As for the symmetry: P4/mmm, No. 123.

Cell lengths 3.5928, 3.5928, 9.2718 Å; angles 90.00, 90.00, 90.00 degrees
With the nearest neighbours (Å) after each atom.
Positions (direct):
Sr (0.0000, 0.0000, 0.0000)  8 Sn 3.50, 4 Sr 3.59
Ce (0.0000, 0.0000, 0.5000)  8 Sn 3.38, 4 Ce 3.59
Sn (0.5000, 0.5000, 0.2597)  4 Ce 3.38, 4 Sr 3.50, 4 Sn 3.59
Sn (0.5000, 0.5000, 0.7403)  4 Ce 3.38, 4 Sr 3.50, 4 Sn 3.59

=====

(8)
This record from the Alexandria database describes crystalline SrCeSn at its relaxed geometry. The functional is PBE-GGA.

Output
As for the total moment: 1.774 μB/f.u. As for the symmetry: P3m1, No. 156.

Cell lengths 5.4407, 5.4407, 3.8937 Å; angles 90.00, 90.00, 120.00 degrees
With the nearest neighbours (Å) after each atom.
Positions (direct):
Sr (0.0000, 0.0000, 0.0000)  3 Sn 3.40, 3 Ce 3.55
Ce (0.3333, 0.6667, 0.5737)  3 Sn 3.27, 3 Sr 3.55
Sn (0.6667, 0.3333, 0.3366)  3 Ce 3.27, 3 Sr 3.40

=====

| no. | ΔE_f (eV/atom) | final energy (eV/cell) | D(E_F) (states/eV/cell) |
| --- | --- | --- | --- |
| 1 | -0.5720 | -28.990 | 10.019 |
| 2 | -0.3255 | -88.716 | 58.397 |
| 3 | -0.4223 | -65.771 | 11.287 |
| 4 | -0.3991 | -25.631 | 11.012 |
| 5 | -0.2487 | -12.364 | 5.828 |
| 6 | -0.3659 | -25.823 | 9.900 |
| 7 | -0.5758 | -17.925 | 8.091 |
| 8 | -0.1938 | -12.200 | 7.763 |